No. 1
This record from Alexandria via LeMat-Bulk describes a relaxed Mg3Pa2TaN6 crystal. The functional is PBE-GGA.

POSCAR file:
```
Mg3Pa2TaN6
1.0
7.2355 -1.6482 0.0000
7.2355 1.6482 0.0000
-1.3338 0.0000 6.3389
Mg Pa Ta N
3 2 1 6
direct
0.0000 0.0000 0.0000 Mg
0.3427 0.3427 0.6748 Mg
0.6573 0.6573 0.3252 Mg
0.3398 0.3398 0.1878 Pa
0.6602 0.6602 0.8122 Pa
0.0000 0.0000 0.5000 Ta
0.1602 0.1602 0.5632 N
0.1703 0.1703 0.0759 N
0.4972 0.4972 0.7424 N
0.5028 0.5028 0.2576 N
0.8297 0.8297 0.9241 N
0.8398 0.8398 0.4368 N
```

Computed properties:
ΔE_f (raw)   -1113 meV/atom
Total magnetization   0.0 Bohr magnetons per cell
Energy   -8.24 eV/atom
DOS(E_F)   4.6 states/eV/f.u.

No. 2
This record from Alexandria via LeMat-Bulk describes a relaxed TbMg3Pa2N6 crystal. The functional is PBE-GGA.

POSCAR file:
```
TbMg3Pa2N6
1.0
7.1661 -1.7368 0.0000
7.1661 1.7368 0.0000
-1.1186 0.0000 6.5480
Tb Mg Pa N
1 3 2 6
direct
0.0000 0.0000 0.0000 Tb
0.0000 0.0000 0.5000 Mg
0.3354 0.3354 0.1691 Mg
0.6646 0.6646 0.8309 Mg
0.3359 0.3359 0.6718 Pa
0.6641 0.6641 0.3282 Pa
0.1690 0.1690 0.0940 N
0.1685 0.1685 0.5760 N
0.4954 0.4954 0.7438 N
0.5046 0.5046 0.2562 N
0.8315 0.8315 0.4240 N
0.8310 0.8310 0.9060 N
```

Computed properties:
ΔE_f (raw)   -1235 meV/atom
Total magnetization   0.9 Bohr magnetons per cell
Energy   -7.77 eV/atom
DOS(E_F)   3.9 states/eV/f.u.

No. 3
This record from Alexandria via LeMat-Bulk describes a relaxed Tb3MgPa3N8 crystal. The functional is PBE-GGA.

POSCAR file:
```
Tb3MgPa3N8
1.0
3.4404 1.9863 5.6246
-3.4404 1.9863 5.6246
0.0000 -3.9726 5.6246
Tb Mg Pa N
3 1 3 8
direct
0.0000 0.5000 0.5000 Tb
0.5000 0.0000 0.5000 Tb
0.5000 0.5000 0.0000 Tb
0.5000 0.5000 0.5000 Mg
0.0000 0.0000 0.5000 Pa
0.0000 0.5000 0.0000 Pa
0.5000 0.0000 0.0000 Pa
0.2411 0.7369 0.7369 N
0.2487 0.2487 0.2487 N
0.2631 0.2631 0.7589 N
0.2631 0.7589 0.2631 N
0.7369 0.2411 0.7369 N
0.7369 0.7369 0.2411 N
0.7513 0.7513 0.7513 N
0.7589 0.2631 0.2631 N
```

Computed properties:
ΔE_f (raw)   -1379 meV/atom
Total magnetization   0.0 Bohr magnetons per cell
Energy   -8.75 eV/atom
DOS(E_F)   5.3 states/eV/f.u.

No. 4
This record from Alexandria via LeMat-Bulk describes a relaxed Tb2MgPaN4 crystal. The functional is PBE-GGA.

POSCAR file:
```
Tb2MgPaN4
1.0
5.8088 0.0000 0.0000
0.0000 3.4929 0.0000
-1.8689 0.0000 5.6582
Tb Mg Pa N
2 1 1 4
direct
0.0000 0.0000 0.0000 Tb
0.5000 0.5000 0.0000 Tb
0.0000 0.5000 0.5000 Mg
0.5000 0.0000 0.5000 Pa
0.2556 0.5000 0.2615 N
0.2627 0.0000 0.7381 N
0.7373 0.0000 0.2619 N
0.7444 0.5000 0.7385 N
```

Computed properties:
ΔE_f (raw)   -1446 meV/atom
Total magnetization   0.0 Bohr magnetons per cell
Energy   -8.15 eV/atom
DOS(E_F)   2.5 states/eV/f.u.

No. 5
This record from Alexandria via LeMat-Bulk describes a relaxed MgPa2TcN6 crystal. The functional is PBE-GGA.

POSCAR file:
```
MgPa2TcN6
1.0
5.2794 0.0000 0.0000
0.0000 5.2794 0.0000
0.0000 0.0000 4.9986
Mg Pa Tc N
1 2 1 6
direct
0.0000 0.0000 0.0000 Mg
0.0000 0.5000 0.4226 Pa
0.5000 0.0000 0.4226 Pa
0.5000 0.5000 0.0166 Tc
0.0000 0.0000 0.5897 N
0.2592 0.2592 0.1784 N
0.2592 0.7408 0.1784 N
0.5000 0.5000 0.6591 N
0.7408 0.2592 0.1784 N
0.7408 0.7408 0.1784 N
```

Computed properties:
ΔE_f (raw)   -747 meV/atom
Total magnetization   1.0 Bohr magnetons per cell
Energy   -8.84 eV/atom
DOS(E_F)   0.7 states/eV/f.u.

No. 6
This record from Alexandria via LeMat-Bulk describes a relaxed Mg2PaTcN4 crystal. The functional is PBE-GGA.

POSCAR file:
```
Mg2PaTcN4
1.0
1.6340 -5.6657 0.0000
1.6340 5.6657 0.0000
0.0000 0.0000 10.7074
Mg Pa Tc N
4 2 2 8
direct
0.1185 0.8815 0.5325 Mg
0.1185 0.8815 0.9675 Mg
0.8815 0.1185 0.0325 Mg
0.8815 0.1185 0.4675 Mg
0.3868 0.6132 0.7500 Pa
0.6132 0.3868 0.2500 Pa
0.3517 0.6483 0.2500 Tc
0.6483 0.3517 0.7500 Tc
0.0420 0.9580 0.7500 N
0.2216 0.7784 0.1295 N
0.2216 0.7784 0.3705 N
0.5000 0.5000 0.0000 N
0.5000 0.5000 0.5000 N
0.7784 0.2216 0.6295 N
0.7784 0.2216 0.8705 N
0.9580 0.0420 0.2500 N
```

Computed properties:
ΔE_f (raw)   -602 meV/atom
Total magnetization   0.0 Bohr magnetons per cell
Energy   -7.65 eV/atom
DOS(E_F)   5.5 states/eV/f.u.

No. 7
This record from Alexandria via LeMat-Bulk describes a relaxed MgPaTe2N crystal. The functional is PBE-GGA.

POSCAR file:
```
MgPaTe2N
1.0
3.9987 0.0000 0.0000
0.0000 3.9987 0.0000
0.0000 0.0000 14.9085
Mg Pa Te N
2 2 4 2
direct
0.2500 0.2500 0.0812 Mg
0.7500 0.7500 0.9188 Mg
0.2500 0.2500 0.5778 Pa
0.7500 0.7500 0.4222 Pa
0.2500 0.2500 0.3093 Te
0.2500 0.2500 0.8855 Te
0.7500 0.7500 0.1145 Te
0.7500 0.7500 0.6907 Te
0.2500 0.7500 0.5000 N
0.7500 0.2500 0.5000 N
```

Computed properties:
ΔE_f (raw)   -1230 meV/atom
Total magnetization   0.0 Bohr magnetons per cell
Energy   -6.37 eV/atom
DOS(E_F)   0.9 states/eV/f.u.

No. 8
This record from Alexandria via LeMat-Bulk describes a relaxed ThMg2PaN4 crystal. The functional is PBE-GGA.

POSCAR file:
```
ThMg2PaN4
1.0
5.6840 0.0000 0.0000
0.0000 3.5172 0.0000
-2.2003 0.0000 5.7062
Th Mg Pa N
1 2 1 4
direct
0.0000 0.0000 0.0000 Th
0.5000 0.0000 0.5000 Mg
0.5000 0.5000 0.0000 Mg
0.0000 0.5000 0.5000 Pa
0.2473 0.0000 0.7373 N
0.2467 0.5000 0.2656 N
0.7527 0.0000 0.2627 N
0.7533 0.5000 0.7344 N
```

Computed properties:
ΔE_f (raw)   -1140 meV/atom
Total magnetization   0.7 Bohr magnetons per cell
Energy   -7.82 eV/atom
DOS(E_F)   3.6 states/eV/f.u.

No. 9
This record from Alexandria via LeMat-Bulk describes a relaxed ThMgPa2N5 crystal. The functional is PBE-GGA.

POSCAR file:
```
ThMgPa2N5
1.0
1.7673 -6.8525 0.0000
1.7673 6.8525 0.0000
0.0000 0.0000 11.5275
Th Mg Pa N
2 2 4 10
direct
0.2245 0.7755 0.5000 Th
0.7755 0.2245 0.0000 Th
0.4984 0.5016 0.0031 Mg
0.5016 0.4984 0.5031 Mg
0.1276 0.8724 0.7547 Pa
0.1320 0.8680 0.2213 Pa
0.8680 0.1320 0.7213 Pa
0.8724 0.1276 0.2547 Pa
0.0655 0.9345 0.5726 N
0.2820 0.7180 0.1615 N
0.2927 0.7073 0.8431 N
0.3736 0.6264 0.6021 N
0.4587 0.5413 0.3203 N
0.5413 0.4587 0.8203 N
0.6264 0.3736 0.1021 N
0.7073 0.2927 0.3431 N
0.7180 0.2820 0.6615 N
0.9345 0.0655 0.0726 N
```

Computed properties:
ΔE_f (raw)   -1338 meV/atom
Total magnetization   0.0 Bohr magnetons per cell
Energy   -9.08 eV/atom
DOS(E_F)   2.7 states/eV/f.u.

No. 10
This record from Alexandria via LeMat-Bulk describes a relaxed Mg3Pa3TiN8 crystal. The functional is PBE-GGA.

POSCAR file:
```
Mg3Pa3TiN8
1.0
3.3811 1.9521 5.1541
-3.3811 1.9521 5.1541
0.0000 -3.9041 5.1541
Mg Pa Ti N
3 3 1 8
direct
0.0000 0.5000 0.5000 Mg
0.5000 0.0000 0.5000 Mg
0.5000 0.5000 0.0000 Mg
0.0000 0.0000 0.5000 Pa
0.0000 0.5000 0.0000 Pa
0.5000 0.0000 0.0000 Pa
0.5000 0.5000 0.5000 Ti
0.2528 0.2528 0.2528 N
0.2604 0.7277 0.7277 N
0.2723 0.2723 0.7396 N
0.2723 0.7396 0.2723 N
0.7277 0.2604 0.7277 N
0.7277 0.7277 0.2604 N
0.7396 0.2723 0.2723 N
0.7472 0.7472 0.7472 N
```

Computed properties:
ΔE_f (raw)   -1213 meV/atom
Total magnetization   0.4 Bohr magnetons per cell
Energy   -8.40 eV/atom
DOS(E_F)   6.7 states/eV/f.u.

No. 11
This record from Alexandria via LeMat-Bulk describes a relaxed MgPa2TiN5 crystal. The functional is PBE-GGA.

POSCAR file:
```
MgPa2TiN5
1.0
1.6806 -6.6408 0.0000
1.6806 6.6408 0.0000
0.0000 0.0000 9.8908
Mg Pa Ti N
2 4 2 10
direct
0.0290 0.9710 0.5000 Mg
0.9710 0.0290 0.0000 Mg
0.3658 0.6342 0.3048 Pa
0.3804 0.6196 0.7141 Pa
0.6196 0.3804 0.2141 Pa
0.6342 0.3658 0.8048 Pa
0.2873 0.7127 0.0231 Ti
0.7127 0.2873 0.5231 Ti
0.0047 0.9953 0.7962 N
0.1345 0.8655 0.0367 N
0.1978 0.8022 0.3845 N
0.2195 0.7805 0.6795 N
0.4281 0.5719 0.0887 N
0.5719 0.4281 0.5887 N
0.7805 0.2195 0.1795 N
0.8022 0.1978 0.8845 N
0.8655 0.1345 0.5367 N
0.9953 0.0047 0.2962 N
```

Computed properties:
ΔE_f (raw)   -1351 meV/atom
Total magnetization   0.0 Bohr magnetons per cell
Energy   -9.14 eV/atom
DOS(E_F)   2.0 states/eV/f.u.

No. 12
This record from Alexandria via LeMat-Bulk describes a relaxed Mg2PaTiN4 crystal. The functional is PBE-GGA.

POSCAR file:
```
Mg2PaTiN4
1.0
5.4782 0.0000 0.0000
0.0000 3.2816 0.0000
-1.7977 0.0000 5.2911
Mg Pa Ti N
2 1 1 4
direct
0.0000 0.0000 0.0000 Mg
0.0000 0.5000 0.5000 Mg
0.5000 0.0000 0.5000 Pa
0.5000 0.5000 0.0000 Ti
0.2561 0.5000 0.2367 N
0.2652 0.0000 0.7621 N
0.7348 0.0000 0.2379 N
0.7439 0.5000 0.7633 N
```

Computed properties:
ΔE_f (raw)   -1212 meV/atom
Total magnetization   0.0 Bohr magnetons per cell
Energy   -7.95 eV/atom
DOS(E_F)   3.9 states/eV/f.u.